Record 1
# PaTlAgAu

A geometry-optimized PaTlAgAu structure (PBE-GGA, Alexandria).

Values from the calculation:
The calculation puts the formation energy from the elements at -0.05 eV/atom. The magnetic moment is 0.0 Bohr magnetons per cell. The electronic total energy comes out at -4.545 eV per atom. Its crystal system is cubic.

Lattice parameters (Å, degrees): 5.0187 5.0187 5.0187 60.00 60.00 60.00
Closest atoms and distances in Å follow each position.
Positions (direct):
Ag1 0.2500 0.2500 0.2500  4 Pa 3.07, 4 Tl 3.07
Au1 0.7500 0.7500 0.7500  4 Tl 3.07, 4 Pa 3.07
Pa1 0.0000 0.0000 0.0000  4 Au 3.07, 4 Ag 3.07
Tl1 0.5000 0.5000 0.5000  4 Ag 3.07, 4 Au 3.07

Record 2
# BaBe2Tl

A geometry-optimized BaBe2Tl structure (PBE-GGA, Alexandria).

Values from the calculation:
The calculation puts the formation energy from the elements at 0.27 eV/atom. The magnetic moment is 0.0 Bohr magnetons per cell. The electronic total energy comes out at -2.665 eV per atom. The value obtained for the polymorph energy (0 for the lowest one) is 26 meV per atom. Its crystal system is orthorhombic.

Lattice parameters (Å, degrees): 4.1077 4.3440 5.9904 68.78 90.00 90.00
Closest atoms and distances in Å follow each position.
Positions (direct):
Ba1 0.5000 0.7940 0.7870  3 Be 3.19-3.25
Tl1 0.0000 0.5057 0.3633  2 Be 2.49
Be1 0.0000 0.1152 0.1439  2 Be 2.08
Be2 0.5000 0.0851 0.2057  2 Be 2.08

Record 3
# Ti4AlOs

A geometry-optimized Ti4AlOs structure (PBE-GGA, Alexandria).

Values from the calculation:
The calculation puts the formation energy from the elements at -0.39 eV/atom. The magnetic moment is 0.0 Bohr magnetons per cell. The electronic total energy comes out at -8.144 eV per atom. The value obtained for the polymorph energy (0 for the lowest one) is 0 meV per atom. Its crystal system is monoclinic.

Lattice parameters (Å, degrees): 3.1325 5.4027 6.9566 112.74 76.99 73.15
Closest atoms and distances in Å follow each position.
Positions (direct):
Ti1 0.1565 0.5067 0.1804  2 Os 2.69, 2 Al 2.78, 5 Ti 2.81-2.96
Ti2 0.8435 0.4933 0.8196  2 Os 2.69, 2 Al 2.78, 5 Ti 2.81-2.96
Ti3 0.3183 0.0219 0.3415  2 Os 2.67, 2 Al 2.75, 5 Ti 2.76-2.96
Ti4 0.6817 0.9781 0.6585  2 Os 2.67, 2 Al 2.75, 5 Ti 2.76-2.96
Al1 0.0000 0.0000 0.0000  8 Ti 2.75-2.78
Os1 0.5000 0.5000 0.5000  8 Ti 2.67-2.69

Record 4
# TiGaSe3

A geometry-optimized TiGaSe3 structure (PBE-GGA, Alexandria).

Values from the calculation:
The magnetic moment is 0.0 Bohr magnetons per cell. The electronic total energy comes out at -3.974 eV per atom. The calculation puts the uncorrected formation energy at 1.50 eV/f.u. Its crystal system is cubic.

Lattice parameters (Å, degrees): 4.8954 4.8954 4.8954 90.00 90.00 90.00
Closest atoms and distances in Å follow each position.
Positions (direct):
Ti1 0.5000 0.5000 0.5000  12 Se 3.46
Se1 0.0000 0.0000 0.5000  2 Ga 2.45
Se2 0.0000 0.5000 0.0000  2 Ga 2.45
Se3 0.5000 0.0000 0.0000  2 Ga 2.45
Ga1 0.0000 0.0000 0.0000  6 Se 2.45